(a)
VASP calculation (PBE-GGA) on a geometry-optimized AlCdPO2 structure.

extended XYZ file:
```
5
Lattice="4.044 0.000 0.000 0.000 4.044 0.000 0.000 0.000 5.241" Properties=species:S:1:pos:R:3 pbc="T T T"
Al 0.000 0.000 0.000
Cd 2.022 2.022 2.620
P 2.022 2.022 0.000
O 0.000 2.022 2.620
O 2.022 0.000 2.620
```

Total magnetic moment   0.000 Bohr magnetons per cell


(b)
VASP calculation (PBE-GGA) on a geometry-optimized AlCdPO2 structure.

extended XYZ file:
```
5
Lattice="3.660 0.000 0.000 0.000 3.660 0.000 0.000 0.000 5.427" Properties=species:S:1:pos:R:3 pbc="T T T"
Al 0.000 0.000 0.000
Cd 1.830 1.830 2.713
P 0.000 0.000 2.713
O 0.000 1.830 0.000
O 1.830 0.000 0.000
```

Total magnetic moment   0.000 Bohr magnetons per cell


Most stable: (b). Least stable: (a).


(a)
VASP calculation (PBE-GGA) on a geometry-optimized AlCd3Os structure.

extended XYZ file:
```
5
Lattice="5.207 0.000 0.000 0.000 5.207 0.000 0.000 0.000 5.207" Properties=species:S:1:pos:R:3 pbc="T T T"
Al 0.000 0.000 0.000
Cd 0.000 2.604 2.604
Cd 2.604 0.000 2.604
Cd 2.604 2.604 0.000
Os 2.604 2.604 2.604
```

Total magnetic moment   0.000 Bohr magnetons per cell


(b)
VASP calculation (PBE-GGA) on a geometry-optimized AlCd3Os structure.

extended XYZ file:
```
5
Lattice="5.009 0.000 0.000 0.000 5.009 0.000 0.000 0.000 5.009" Properties=species:S:1:pos:R:3 pbc="T T T"
Al 0.000 0.000 0.000
Cd 0.000 0.000 2.504
Cd 0.000 2.504 0.000
Cd 2.504 0.000 0.000
Os 2.504 2.504 2.504
```

Total magnetic moment   3.023 Bohr magnetons per cell


Most stable: (a). Least stable: (b).


(a)
VASP calculation (PBE-GGA) on a geometry-optimized AlCdOs3 structure.

extended XYZ file:
```
5
Lattice="4.483 0.000 0.000 0.000 4.483 0.000 0.000 0.000 4.483" Properties=species:S:1:pos:R:3 pbc="T T T"
Al 0.000 0.000 0.000
Cd 2.242 2.242 2.242
Os 0.000 0.000 2.242
Os 0.000 2.242 0.000
Os 2.242 0.000 0.000
```

Total magnetic moment   1.732 Bohr magnetons per cell


(b)
VASP calculation (PBE-GGA) on a geometry-optimized AlCdOs3 structure.

extended XYZ file:
```
5
Lattice="4.790 0.000 0.000 0.000 4.790 0.000 0.000 0.000 4.790" Properties=species:S:1:pos:R:3 pbc="T T T"
Al 0.000 0.000 0.000
Cd 2.395 2.395 2.395
Os 0.000 2.395 2.395
Os 2.395 0.000 2.395
Os 2.395 2.395 0.000
```

Total magnetic moment   2.799 Bohr magnetons per cell


Most stable: (a). Least stable: (b).